Density functional theory data (GGA-PBE) for an optimized crystal structure of HgTe2Mo.

Lattice parameters (Å, degrees): 10.9079 3.4281 7.1450 90.00 115.54 90.00
With the nearest neighbours (Å) after each atom.
Space group Cm (No. 8)
Symmetry-distinct sites (fractional):
1 Hg 0.0000 0.0000 0.0000 (multiplicity 2)  3 Mo 2.89-3.12
2 Te 0.1173 0.5000 0.7226 (multiplicity 2)  2 Mo 2.68
3 Te 0.2779 0.5000 0.2861 (multiplicity 2)  2 Mo 2.68
4 Mo 0.2873 0.0000 0.0041 (multiplicity 2)  4 Te 2.68, 2 Hg 2.89

Calculated values
As for the density of states at the Fermi level: 0.51 states/eV per atom. The energy comes out at -4.2039 eV/atom. Its formation energy from raw total energies is 0.6 eV per formula unit.